1.
# Na3Tm3MnTe8 | Alexandria | PBE-GGA | optimized geometry
# E (eV per atom): -4.46
# E_form (uncorrected) (eV per atom): -1.02
data_Na3Tm3MnTe8
_cell_length_a 9.1473
_cell_length_b 9.1473
_cell_length_c 9.1473
_cell_angle_alpha 55.72
_cell_angle_beta 55.72
_cell_angle_gamma 55.72
_symmetry_space_group_name_H-M 'P 1'
_symmetry_Int_Tables_number 1
loop_
_symmetry_equiv_pos_as_xyz
'x,y,z'
loop_
_atom_site_label
_atom_site_fract_x
_atom_site_fract_y
_atom_site_fract_z
Na1 0.0000 0.5000 0.5000
Na2 0.5000 0.0000 0.5000
Na3 0.5000 0.5000 0.0000
Tm1 0.0000 0.0000 0.5000
Tm2 0.0000 0.5000 0.0000
Tm3 0.5000 0.0000 0.0000
Mn1 0.5000 0.5000 0.5000
Te1 0.2434 0.2434 0.2434
Te2 0.2634 0.7252 0.7252
Te3 0.2748 0.2748 0.7366
Te4 0.2748 0.7366 0.2748
Te5 0.7252 0.2634 0.7252
Te6 0.7252 0.7252 0.2634
Te7 0.7366 0.2748 0.2748
Te8 0.7566 0.7566 0.7566

=====

2.
# YSI | Alexandria | PBE-GGA | optimized geometry
# E (eV per atom): -5.69
# E_form (uncorrected) (eV per atom): -1.64
data_YSI
_cell_length_a 6.8982
_cell_length_b 7.9417
_cell_length_c 8.5337
_cell_angle_alpha 90.00
_cell_angle_beta 122.76
_cell_angle_gamma 90.00
_symmetry_space_group_name_H-M 'P 1'
_symmetry_Int_Tables_number 1
loop_
_symmetry_equiv_pos_as_xyz
'x,y,z'
loop_
_atom_site_label
_atom_site_fract_x
_atom_site_fract_y
_atom_site_fract_z
Y1 0.1209 0.1311 0.2243
Y2 0.1209 0.3689 0.7243
Y3 0.8791 0.6311 0.2757
Y4 0.8791 0.8689 0.7757
S1 0.1893 0.1103 0.9493
S2 0.1893 0.3897 0.4493
S3 0.8107 0.6103 0.5507
S4 0.8107 0.8897 0.0507
I1 0.3014 0.6236 0.0571
I2 0.3014 0.8764 0.5571
I3 0.6986 0.1236 0.4429
I4 0.6986 0.3764 0.9429

=====

3.
# CdTc2W | Alexandria | PBE-GGA | optimized geometry
# E_form (eV per atom): 0.262
# E (eV per atom): -8.39
data_CdTc2W
_cell_length_a 2.7709
_cell_length_b 2.7709
_cell_length_c 9.1838
_cell_angle_alpha 90.00
_cell_angle_beta 90.00
_cell_angle_gamma 111.03
_symmetry_space_group_name_H-M 'P 1'
_symmetry_Int_Tables_number 1
loop_
_symmetry_equiv_pos_as_xyz
'x,y,z'
loop_
_atom_site_label
_atom_site_fract_x
_atom_site_fract_y
_atom_site_fract_z
Cd1 0.0000 0.0000 0.0000
Tc1 0.5000 0.5000 0.2700
Tc2 0.5000 0.5000 0.7300
W1 0.0000 0.0000 0.5000

=====

4.
# TmFeTcGe2 | Alexandria | PBE-GGA | optimized geometry
# E_form (eV per atom): -0.420
# E (eV per atom): -6.93
data_TmFeTcGe2
_cell_length_a 6.0464
_cell_length_b 6.0464
_cell_length_c 6.0464
_cell_angle_alpha 141.26
_cell_angle_beta 141.26
_cell_angle_gamma 55.94
_symmetry_space_group_name_H-M 'P 1'
_symmetry_Int_Tables_number 1
loop_
_symmetry_equiv_pos_as_xyz
'x,y,z'
loop_
_atom_site_label
_atom_site_fract_x
_atom_site_fract_y
_atom_site_fract_z
Tm1 0.0000 0.0000 0.0000
Fe1 0.7500 0.2500 0.5000
Tc1 0.2500 0.7500 0.5000
Ge1 0.3820 0.3820 0.0000
Ge2 0.6180 0.6180 0.0000

=====

Question: Look up the E of the second one.
Answer: -5.69 eV per atom